HfTl8Te6 after structural relaxation, computed with GGA-PBE.

Summary:
ΔE_f (raw) = -0.363 eV/atom
space group = Pmn2_1

a = 8.805 Å, b = 9.956 Å, c = 13.503 Å
α = 90.00°, β = 90.00°, γ = 90.00°
Sites, in units of the cell vectors:
Hf 0.834 0.000 0.459
Hf 0.166 0.500 0.959
Tl 0.446 0.000 0.014
Tl 0.554 0.500 0.514
Tl 0.840 0.767 0.090
Tl 0.160 0.733 0.590
Tl 0.160 0.267 0.590
Tl 0.840 0.233 0.090
Tl 0.611 0.757 0.800
Tl 0.389 0.743 0.300
Tl 0.389 0.257 0.300
Tl 0.611 0.243 0.800
Tl 0.075 0.797 0.831
Tl 0.925 0.703 0.331
Tl 0.925 0.297 0.331
Tl 0.075 0.203 0.831
Tl 0.478 0.000 0.556
Tl 0.522 0.500 0.056
Te 0.820 0.000 0.925
Te 0.180 0.500 0.425
Te 0.356 0.000 0.779
Te 0.644 0.500 0.279
Te 0.141 0.000 0.427
Te 0.859 0.500 0.927
Te 0.668 0.000 0.288
Te 0.332 0.500 0.788
Te 0.216 0.729 0.072
Te 0.784 0.771 0.572
Te 0.784 0.229 0.572
Te 0.216 0.271 0.072

Rb5TiTe4 after structural relaxation, computed with GGA-PBE.

Summary:
ΔE_f (raw) = -0.888 eV/atom
space group = Pmmn

a = 8.625 Å, b = 11.175 Å, c = 10.681 Å
α = 90.00°, β = 90.00°, γ = 90.00°
Sites, in units of the cell vectors:
Rb 0.737 0.193 0.240
Rb 0.737 0.193 0.760
Rb 0.153 0.000 0.500
Rb 0.737 0.807 0.240
Rb 0.737 0.807 0.760
Rb 0.263 0.693 0.260
Rb 0.263 0.693 0.740
Rb 0.847 0.500 0.000
Rb 0.263 0.307 0.740
Rb 0.263 0.307 0.260
Ti 0.213 0.000 0.000
Ti 0.787 0.500 0.500
Te 0.035 0.203 0.000
Te 0.391 0.000 0.213
Te 0.391 0.000 0.787
Te 0.035 0.797 0.000
Te 0.965 0.703 0.500
Te 0.609 0.500 0.287
Te 0.609 0.500 0.713
Te 0.965 0.297 0.500

BaGaCuPt after structural relaxation, computed with GGA-PBE.

Summary:
space group = Cm
DFT formation energy = -53 kJ/mol of atoms

a = 4.440 Å, b = 4.425 Å, c = 6.199 Å
α = 110.78°, β = 90.00°, γ = 120.12°
Sites, in units of the cell vectors:
Ba 0.620 0.240 0.505
Ga 0.109 0.218 0.971
Cu 0.808 0.617 0.065
Pt 0.429 0.858 0.927

LaMnTcC3 after structural relaxation, computed with GGA-PBE.

Summary:
space group = P2_1/m
DFT formation energy = 10 kJ/mol of atoms

a = 3.456 Å, b = 6.082 Å, c = 8.086 Å
α = 115.49°, β = 90.00°, γ = 90.00°
Sites, in units of the cell vectors:
La 0.750 0.712 0.734
La 0.250 0.288 0.266
Mn 0.250 0.151 0.614
Mn 0.750 0.849 0.386
Tc 0.250 0.702 0.097
Tc 0.750 0.298 0.903
C 0.250 0.796 0.471
C 0.750 0.890 0.148
C 0.750 0.513 0.167
C 0.750 0.204 0.529
C 0.250 0.487 0.833
C 0.250 0.110 0.852

SiTe3W after structural relaxation, computed with GGA-PBE.

Summary:
ΔE_f (raw) = 1.349 eV/atom
space group = Pm-3m

a = 5.152 Å, b = 5.152 Å, c = 5.152 Å
α = 90.00°, β = 90.00°, γ = 90.00°
Sites, in units of the cell vectors:
Si 0.000 0.000 0.000
Te 0.000 0.500 0.000
Te 0.000 0.000 0.500
Te 0.500 0.000 0.000
W 0.500 0.500 0.500

YZrBr2 after structural relaxation, computed with GGA-PBE.

Summary:
ΔE_f (raw) = -0.608 eV/atom
space group = Cm

a = 5.172 Å, b = 5.172 Å, c = 6.350 Å
α = 71.96°, β = 71.96°, γ = 40.46°
Sites, in units of the cell vectors:
Y 0.486 0.486 0.504
Br 0.031 0.031 0.862
Br 0.241 0.241 0.247
Zr 0.743 0.743 0.887

LiPaOsRh after structural relaxation, computed with GGA-PBE.

Summary:
space group = F-43m
DFT formation energy = -29 kJ/mol of atoms

a = 4.594 Å, b = 4.594 Å, c = 4.594 Å
α = 60.00°, β = 60.00°, γ = 60.00°
Sites, in units of the cell vectors:
Rh 0.500 0.500 0.500
Pa 0.750 0.750 0.750
Os 0.000 0.000 0.000
Li 0.250 0.250 0.250

RbLiHIrF after structural relaxation, computed with GGA-PBE.

Summary:
space group = Amm2
uncorrected energy = -4.2325 eV per atom

a = 2.893 Å, b = 3.293 Å, c = 15.442 Å
α = 90.00°, β = 90.00°, γ = 90.00°
Sites, in units of the cell vectors:
Rb 0.500 0.000 0.987
Rb 0.500 0.500 0.487
Li 0.500 0.000 0.295
Li 0.500 0.500 0.795
H 0.000 0.000 0.140
H 0.000 0.500 0.640
Ir 0.000 0.000 0.673
Ir 0.000 0.500 0.173
F 0.000 0.000 0.379
F 0.000 0.500 0.879